[1]
Density functional theory data (PBE) for an optimized crystal structure of RbSnBiPb.

a = 5.4117 Å, b = 5.4117 Å, c = 7.3699 Å
α = 68.46°, β = 68.46°, γ = 60.00°
Sites, in units of the cell vectors:
Rb1 0.8140 0.8140 0.5580
Sn1 0.6230 0.6230 0.1310
Bi1 0.0140 0.0140 0.9579
Pb1 0.2748 0.2748 0.1755

Calculated values
total magnetic moment	0.0000	μB per atom
total energy	-3.184	eV per atom
formation energy from the elements	-0.18	eV per formula unit
SG	R3m



[2]
Density functional theory data (PBE) for an optimized crystal structure of PaVNi.

a = 2.9059 Å, b = 4.3635 Å, c = 4.3635 Å
α = 120.00°, β = 90.00°, γ = 90.00°
Sites, in units of the cell vectors:
Ni1 0.0210 0.0000 0.0000
Pa1 0.4178 0.6667 0.3333
V1 0.5612 0.3333 0.6667

Calculated values
total magnetic moment	0.0004	μB per atom
energy relative to the lowest polymorph listed for this composition	0.3204	eV/atom
total energy	-7.938	eV per atom
formation energy from the elements	0.58	eV per formula unit
SG	P3m1